[1]
First-principles (GGA-PBE) data for a relaxed structure of KNaTl2Cd, as listed in the Alexandria database.

Unit cell a=6.480 b=6.414 c=8.104 alpha=90.00 beta=90.00 gamma=90.00
Fractional positions:
Tl  0.816  0.250  0.714
Na  0.566  0.750  0.000
Na  0.434  0.250  0.000
K  0.695  0.750  0.500
Tl  0.184  0.750  0.286
Cd  0.000  0.500  0.000
K  0.305  0.250  0.500
Tl  0.816  0.250  0.286
Cd  0.000  0.000  0.000
Tl  0.184  0.750  0.714

Results
Total moment, μB/atom: 0.00
E, eV/atom: -1.66
ΔH_f (0 K), eV/atom: -0.0487
Relative energy among the computed polymorphs, meV per atom: 0


[2]
First-principles (GGA-PBE) data for a relaxed structure of TmPuPb6, as listed in the Alexandria database.

Unit cell a=4.879 b=4.879 c=9.645 alpha=90.00 beta=90.00 gamma=90.00
Each line ends with the local moment (μB).
Fractional positions:
Pb  0.500  0.500  0.000  0.02
Pb  0.000  0.500  0.248  0.01
Tm  0.000  0.000  0.000  -0.08
Pu  0.000  0.000  0.500  5.51
Pb  0.500  0.500  0.500  0.00
Pb  0.000  0.500  0.752  0.01
Pb  0.500  0.000  0.752  0.01
Pb  0.500  0.000  0.248  0.01

Results
Total moment, μB/atom: 0.73
E, eV/atom: -5.33
ΔH_f (0 K), eV/atom: -0.1951